The following is a PBE with a Hubbard U calculation of an optimized crystal structure of AcMnBiO4, from Alexandria.

abc: 6.5254 7.6059 9.8515
angles: 90.00 90.00 90.00
Closest atoms and distances in Å follow each position.
Space group Imma (No. 74)
Asymmetric unit:
Ac (0.0000, 0.0000, 0.0000)  6 O 2.48-2.50
Mn (0.2500, 0.2500, 0.2500)  4 O 2.22
Bi (0.0000, 0.2500, 0.6538)  2 O 2.15
O (0.0000, 0.0517, 0.2485)  2 Mn 2.22, 1 Ac 2.48
O (0.2486, 0.2500, 0.9872)  1 Bi 2.15

Summary:
The total magnetization comes out at 20.000 Bohr magnetons per cell. The value obtained for the calculated total energy is -196.01 eV for the cell shown.